Entry 1:
First-principles (GGA-PBE) data for U2PdPt6 after structural relaxation, as listed in Alexandria via LeMat-Bulk.

The structure in POSCAR format:
```
U2PdPt6
1.0
6.1618 -2.0641 0.0000
6.1618 2.0641 0.0000
-2.1834 0.0000 6.2520
U Pd Pt
2 1 6
Cartesian
0.0259 0.0000 2.0372
10.1143 0.0000 4.2147
6.1618 0.0000 0.0000
2.0546 0.0000 0.0582
1.9596 0.0000 4.1688
4.1817 0.0000 2.0523
5.9585 0.0000 4.1996
8.1806 0.0000 2.0832
8.0856 0.0000 6.1937
```

Output
Its calculated volume is 159.0 Å³/cell. The value obtained for the formation energy is -556 meV per atom. For the energy above the most stable polymorph in this dataset, the calculation gives 0.000 eV per atom. The crystal system is monoclinic. As for the electronic total energy: -7.6682 eV per atom.

=====

Entry 2:
First-principles (GGA-PBE) data for CaAc2PuO8 after structural relaxation, as listed in Alexandria via LeMat-Bulk.

The structure in POSCAR format:
```
CaAc2PuO8
1.0
4.2975 0.0000 0.0000
0.0000 7.8685 0.0000
-0.6953 0.0000 5.6124
Ca Ac Pu O
1 2 1 8
Cartesian
0.0000 0.0000 0.0000
1.8011 1.9593 2.8062
1.8011 5.9093 2.8062
0.0000 3.9343 0.0000
-0.2989 2.3664 4.3520
-0.2989 5.5021 4.3520
1.6221 3.9343 1.1371
1.8281 0.0000 1.4003
1.7741 0.0000 4.2121
1.9801 3.9343 4.4753
3.9011 2.3664 1.2604
3.9011 5.5021 1.2604
```

Output
The uncorrected formation energy is -2742 meV/atom. Its calculated volume is 189.8 Å³/cell. The crystal system is monoclinic. As for the electronic total energy: -8.0929 eV per atom.

=====

Entry 3:
First-principles (GGA-PBE) data for MgFeRe2Te after structural relaxation, as listed in Alexandria via LeMat-Bulk.

The structure in POSCAR format:
```
MgFeRe2Te
1.0
4.8814 0.0000 0.0000
0.0000 4.8814 0.0000
0.0000 0.0000 4.6286
Mg Fe Re Te
1 1 2 1
Cartesian
0.0000 0.0000 0.0000
2.4407 2.4407 0.0000
0.0000 2.4407 2.3143
2.4407 0.0000 2.3143
2.4407 2.4407 2.3143
```

Output
The uncorrected formation energy is 1804 meV/atom. Its calculated volume is 110.3 Å³/cell. The crystal system is tetragonal. As for the electronic total energy: -5.8152 eV per atom.

=====

Entry 4:
First-principles (GGA-PBE) data for AcCeMg2Tl4 after structural relaxation, as listed in Alexandria via LeMat-Bulk.

The structure in POSCAR format:
```
AcCeMg2Tl4
1.0
2.7095 1.5643 8.9643
-2.7095 1.5643 8.9643
0.0000 -3.1287 8.9643
Ac Ce Mg Tl
1 1 2 4
Cartesian
0.0000 0.0000 0.0000
0.0000 0.0000 13.4464
0.0000 0.0000 6.6752
0.0000 0.0000 20.2177
0.0000 0.0000 3.4281
0.0000 0.0000 10.2111
0.0000 0.0000 16.6818
0.0000 0.0000 23.4648
```

Output
Its calculated volume is 228.0 Å³/cell. The value obtained for the formation energy is -233 meV per atom. The crystal system is trigonal. As for the electronic total energy: -3.0703 eV per atom.

=====

Entry 5:
First-principles (GGA-PBE) data for FeTc2Os after structural relaxation, as listed in Alexandria via LeMat-Bulk.

The structure in POSCAR format:
```
FeTc2Os
1.0
2.7005 0.0000 0.0000
0.0000 3.7935 0.0000
0.0000 0.0000 5.3835
Fe Tc Os
1 2 1
Cartesian
0.0000 0.0000 0.0000
0.0000 0.0000 2.6555
1.3502 1.8967 4.0953
1.3502 1.8967 1.2828
```

Output
Its calculated volume is 55.1 Å³/cell. The value obtained for the formation energy is 104 meV per atom. For the energy above the most stable polymorph in this dataset, the calculation gives 0.026 eV per atom. The crystal system is orthorhombic. As for the electronic total energy: -10.0026 eV per atom.

=====

Entry 6:
First-principles (GGA-PBE) data for VReMoRh after structural relaxation, as listed in Alexandria via LeMat-Bulk.

The structure in POSCAR format:
```
VReMoRh
1.0
0.0000 3.0951 3.0951
3.0951 0.0000 3.0951
3.0951 3.0951 0.0000
V Re Mo Rh
1 1 1 1
Cartesian
0.0000 0.0000 0.0000
1.5476 1.5476 1.5476
3.0951 3.0951 3.0951
4.6427 4.6427 4.6427
```

Output
Its calculated volume is 59.3 Å³/cell. The value obtained for the formation energy is 0 meV per atom. The crystal system is cubic. As for the electronic total energy: -9.9375 eV per atom.

=====

Entry 7:
First-principles (GGA-PBE) data for NaLuSn after structural relaxation, as listed in Alexandria via LeMat-Bulk.

The structure in POSCAR format:
```
NaLuSn
1.0
-1.6844 1.6844 7.4719
1.6844 -1.6844 7.4719
1.6844 1.6844 -7.4719
Na Lu Sn
1 1 1
Cartesian
0.0000 0.0000 0.0000
0.0000 0.0000 10.4320
0.0000 0.0000 5.1202
```

Output
Its calculated volume is 84.8 Å³/cell. The value obtained for the formation energy is -138 meV per atom. The crystal system is tetragonal. As for the electronic total energy: -3.4188 eV per atom.

=====

Entry 8:
First-principles (GGA-PBE) data for Ba2CrHg after structural relaxation, as listed in Alexandria via LeMat-Bulk.

The structure in POSCAR format:
```
Ba2CrHg
1.0
-2.8347 2.8347 4.0269
2.8347 -2.8347 4.0269
2.8347 2.8347 -4.0269
Ba Cr Hg
2 1 1
Cartesian
0.0000 0.0000 0.0000
0.0000 2.8347 2.0135
2.8347 0.0000 2.0135
0.0000 0.0000 4.0269
```

Output
Its calculated volume is 129.4 Å³/cell. The value obtained for the formation energy is 266 meV per atom. The crystal system is tetragonal. As for the electronic total energy: -3.1768 eV per atom.